[1]
A relaxed structure of AcPmNi, computed with PBE-GGA.

Cell lengths 5.0449, 5.0449, 5.0449 Å; angles 60.00, 60.00, 60.00 degrees
Fractional coordinates of all 3 atoms:
Ac 0.0000 0.0000 0.0000
Pm 0.5000 0.5000 0.5000
Ni 0.2500 0.2500 0.2500

Offset from the most stable computed form, meV per atom: 209
Raw total energy, eV per cell: -14.62
SG: F-43m, No. 216
N(E_F), states/eV/atom: 1.61
Size of the total moment, μB per cell: 0.000
Energy relative to the elements, meV/atom: 7

[2]
A relaxed structure of AcPm3Ni2, computed with PBE-GGA.

Cell lengths 8.6359, 8.6359, 8.7366 Å; angles 117.12, 117.12, 34.24 degrees
Fractional coordinates of all 12 atoms:
Ac 0.1327 0.1327 0.2107
Ac 0.8673 0.8673 0.7893
Pm 0.0614 0.0614 0.7203
Pm 0.3121 0.3121 0.0070
Pm 0.3757 0.3757 0.4988
Pm 0.6243 0.6243 0.5012
Pm 0.6879 0.6879 0.9930
Pm 0.9386 0.9386 0.2797
Ni 0.2105 0.2105 0.6310
Ni 0.4980 0.4980 0.1361
Ni 0.5020 0.5020 0.8639
Ni 0.7895 0.7895 0.3690

Offset from the most stable computed form, meV per atom: 104
Raw total energy, eV per cell: -60.98
SG: C2/m, No. 12
N(E_F), states/eV/atom: 1.12
Size of the total moment, μB per cell: 0.000
Energy relative to the elements, meV/atom: -94

[3]
A relaxed structure of AcPm3Ni, computed with PBE-GGA.

Cell lengths 5.5383, 5.5383, 5.5383 Å; angles 90.00, 90.00, 90.00 degrees
Fractional coordinates of all 5 atoms:
Ac 0.0000 0.0000 0.0000
Pm 0.0000 0.5000 0.5000
Pm 0.5000 0.0000 0.5000
Pm 0.5000 0.5000 0.0000
Ni 0.5000 0.5000 0.5000

Offset from the most stable computed form, meV per atom: 27
Raw total energy, eV per cell: -24.29
SG: Pm-3m, No. 221
N(E_F), states/eV/atom: 2.44
Size of the total moment, μB per cell: 0.004
Energy relative to the elements, meV/atom: -29

[4]
A relaxed structure of AcPmNi, computed with PBE-GGA.

Cell lengths 6.6022, 9.1258, 6.0405 Å; angles 90.00, 104.34, 90.00 degrees
Fractional coordinates of all 12 atoms:
Ac 0.1952 0.1455 0.0510
Ac 0.1952 0.3545 0.5510
Ac 0.8048 0.6455 0.4490
Ac 0.8048 0.8545 0.9490
Pm 0.2878 0.6118 0.0728
Pm 0.2878 0.8882 0.5728
Pm 0.7122 0.1118 0.4272
Pm 0.7122 0.3882 0.9272
Ni 0.4568 0.6054 0.6575
Ni 0.4568 0.8946 0.1575
Ni 0.5432 0.1054 0.8425
Ni 0.5432 0.3946 0.3425

Offset from the most stable computed form, meV per atom: 97
Raw total energy, eV per cell: -59.82
SG: P2_1/c, No. 14
N(E_F), states/eV/atom: 1.10
Size of the total moment, μB per cell: 0.000
Energy relative to the elements, meV/atom: -105

[5]
A relaxed structure of AcPmNi, computed with PBE-GGA.

Cell lengths 4.1007, 4.1007, 6.5836 Å; angles 90.00, 90.00, 120.00 degrees
Fractional coordinates of all 3 atoms:
Ac 0.0000 0.0000 0.0000
Pm 0.3333 0.6667 0.4871
Ni 0.6667 0.3333 0.2606

Offset from the most stable computed form, meV per atom: 85
Raw total energy, eV per cell: -14.99
SG: P3m1, No. 156
N(E_F), states/eV/atom: 1.01
Size of the total moment, μB per cell: 0.000
Energy relative to the elements, meV/atom: -116

[6]
A relaxed structure of AcPm2Ni6, computed with PBE-GGA.

Cell lengths 7.0235, 7.0235, 4.0368 Å; angles 90.00, 90.00, 120.00 degrees
Fractional coordinates of all 9 atoms:
Ac 0.0000 0.0000 0.0000
Pm 0.3333 0.6667 0.0000
Pm 0.6667 0.3333 0.0000
Ni 0.0000 0.3362 0.5000
Ni 0.0000 0.6638 0.5000
Ni 0.3362 0.0000 0.5000
Ni 0.3362 0.3362 0.5000
Ni 0.6638 0.0000 0.5000
Ni 0.6638 0.6638 0.5000

Raw total energy, eV per cell: -51.01
SG: P6/mmm, No. 191
N(E_F), states/eV/atom: 1.16
Size of the total moment, μB per cell: 0.579
Energy relative to the elements, meV/atom: -301

[7]
A relaxed structure of AcPm3Ni2, computed with PBE-GGA.

Cell lengths 8.6380, 8.6380, 12.1423 Å; angles 123.63, 123.63, 26.90 degrees
Fractional coordinates of all 12 atoms:
Ac 0.1500 0.1500 0.2466
Ac 0.8500 0.8500 0.7534
Pm 0.1540 0.1540 0.7502
Pm 0.4123 0.4123 0.0606
Pm 0.4174 0.4174 0.5524
Pm 0.5826 0.5826 0.4476
Pm 0.5877 0.5877 0.9394
Pm 0.8460 0.8460 0.2498
Ni 0.2308 0.2308 0.5477
Ni 0.2330 0.2330 0.0462
Ni 0.7670 0.7670 0.9538
Ni 0.7692 0.7692 0.4523

Offset from the most stable computed form, meV per atom: 0
Raw total energy, eV per cell: -62.23
SG: C2/m, No. 12
N(E_F), states/eV/atom: 1.13
Size of the total moment, μB per cell: 0.000
Energy relative to the elements, meV/atom: -198

[8]
A relaxed structure of AcPm4Ni5, computed with PBE-GGA.

Cell lengths 3.5053, 3.5053, 17.6182 Å; angles 90.00, 90.00, 90.00 degrees
Fractional coordinates of all 10 atoms:
Ac 0.0000 0.0000 0.0000
Pm 0.0000 0.0000 0.2060
Pm 0.0000 0.0000 0.4022
Pm 0.0000 0.0000 0.5978
Pm 0.0000 0.0000 0.7940
Ni 0.5000 0.5000 0.1140
Ni 0.5000 0.5000 0.3043
Ni 0.5000 0.5000 0.5000
Ni 0.5000 0.5000 0.6957
Ni 0.5000 0.5000 0.8860

Raw total energy, eV per cell: -54.22
SG: P4/mmm, No. 123
N(E_F), states/eV/atom: 1.01
Size of the total moment, μB per cell: 0.000
Energy relative to the elements, meV/atom: -220

- size of the total moment of number 2 (AcPm3Ni2)?
  0.000 μB per cell